No. 1
! PBE ZrTl2Tc, relaxed; values from VASP
&SYSTEM
  ibrav = 0, nat = 4, ntyp = 3
/
ATOMIC_SPECIES
Tc 98.00 Tc.upf
Tl 204.38 Tl.upf
Zr 91.22 Zr.upf
ATOMIC_POSITIONS crystal
Tc 0.500 0.500 0.750
Tl 0.000 0.000 0.975
Tl 0.000 0.000 0.525
Zr 0.500 0.500 0.250
CELL_PARAMETERS angstrom
-2.109 1.892 -1.813
-1.142 -2.758 -1.550
-5.071 -0.766 5.099
! Crystal system: tetragonal
! SG: No. 123
! Formation energy from the elements, kJ/mol of formula units: 156

No. 2
! PBE PmDyHo4, relaxed; values from VASP
&SYSTEM
  ibrav = 0, nat = 12, ntyp = 3
/
ATOMIC_SPECIES
Pm 145.00 Pm.upf
Dy 162.50 Dy.upf
Ho 164.93 Ho.upf
ATOMIC_POSITIONS crystal
Pm 0.500 0.500 0.500
Pm 0.000 0.000 0.500
Dy 0.173 0.750 0.000
Dy 0.827 0.250 0.000
Ho 0.342 0.909 0.318
Ho 0.975 0.409 0.318
Ho 0.754 0.832 0.163
Ho 0.409 0.332 0.163
Ho 0.246 0.168 0.837
Ho 0.591 0.668 0.837
Ho 0.658 0.091 0.682
Ho 0.025 0.591 0.682
CELL_PARAMETERS angstrom
-2.345 -1.132 5.499
-4.782 -1.836 -2.417
7.717 -8.858 -1.899
! Crystal system: orthorhombic
! SG: No. 74
! Formation energy from the elements, kJ/mol of formula units: 33